Record 1
The following is a PBE calculation of a relaxed structure of SbTe3H, from the Alexandria database.

a = 4.8522 Å, b = 4.8522 Å, c = 4.8522 Å
α = 90.00°, β = 90.00°, γ = 90.00°
Closest atoms and distances in Å follow each position.
Space group Pm-3m (No. 221)
One atom of each set of equivalent atoms:
Sb1 0.0000 0.0000 0.0000 (multiplicity 1)  12 Te 3.43
Te1 0.0000 0.5000 0.5000 (multiplicity 3)  2 H 2.43
H1 0.5000 0.5000 0.5000 (multiplicity 1)  6 Te 2.43

N(E_F) ... 0.599 states/eV/atom
Final energy ... -2.8118 eV/atom
Volume ... 22.85 Å³ per atom
Magnetization ... 0.00 μB/f.u.

Record 2
The following is a PBE calculation of a relaxed structure of Sb3TeH, from the Alexandria database.

a = 4.8370 Å, b = 4.8370 Å, c = 4.8370 Å
α = 90.00°, β = 90.00°, γ = 90.00°
Closest atoms and distances in Å follow each position.
Space group Pm-3m (No. 221)
One atom of each set of equivalent atoms:
Sb1 0.0000 0.0000 0.5000 (multiplicity 3)  2 H 2.42
Te1 0.5000 0.5000 0.5000 (multiplicity 1)  12 Sb 3.42
H1 0.0000 0.0000 0.0000 (multiplicity 1)  6 Sb 2.42

N(E_F) ... 0.969 states/eV/atom
Final energy ... -3.2709 eV/atom
Volume ... 22.63 Å³ per atom
Magnetization ... 0.00 μB/f.u.

Record 3
The following is a PBE calculation of a relaxed structure of SbTeH2, from the Alexandria database.

a = 4.6681 Å, b = 4.6681 Å, c = 12.5814 Å
α = 90.00°, β = 90.00°, γ = 90.00°
Closest atoms and distances in Å follow each position.
Space group I-42d (No. 122)
One atom of each set of equivalent atoms:
Sb1 0.0000 0.0000 0.0000 (multiplicity 4)  4 H 1.96
Te1 0.0000 0.0000 0.5000 (multiplicity 4)  8 H 3.00-3.09, 4 Sb 3.30
H1 0.0132 0.7500 0.1250 (multiplicity 8)  2 Sb 1.96

N(E_F) ... 0.353 states/eV/atom
Final energy ... -2.9905 eV/atom
Volume ... 17.14 Å³ per atom
Magnetization ... 0.00 μB/f.u.

Record 4
The following is a PBE calculation of a relaxed structure of Sb2TeH, from the Alexandria database.

a = 6.1724 Å, b = 6.1724 Å, c = 10.6063 Å
α = 90.00°, β = 90.00°, γ = 90.00°
Closest atoms and distances in Å follow each position.
Space group I-42d (No. 122)
One atom of each set of equivalent atoms:
Sb1 0.1276 0.2500 0.1250 (multiplicity 8)  2 H 2.18
Te1 0.0000 0.0000 0.5000 (multiplicity 4)  4 Sb 3.07
H1 0.0000 0.0000 0.0000 (multiplicity 4)  4 Sb 2.18

N(E_F) ... 0.576 states/eV/atom
Final energy ... -3.2344 eV/atom
Volume ... 25.26 Å³ per atom
Magnetization ... 0.00 μB/f.u.

Record 5
The following is a PBE calculation of a relaxed structure of Th2SbTeH2, from the Alexandria database.

a = 4.1431 Å, b = 4.1431 Å, c = 8.6850 Å
α = 90.00°, β = 90.00°, γ = 120.00°
Closest atoms and distances in Å follow each position.
Space group P-3m1 (No. 164)
One atom of each set of equivalent atoms:
Th1 0.3333 0.6667 0.2414 (multiplicity 2)  3 H 2.39
Sb1 0.0000 0.0000 0.0000 (multiplicity 1)  6 Th 3.18, 6 H 3.24
Te1 0.0000 0.0000 0.5000 (multiplicity 1)  6 H 3.22, 6 Th 3.28
H1 0.3333 0.6667 0.7478 (multiplicity 2)  3 Th 2.39

N(E_F) ... 0.502 states/eV/atom
Final energy ... -5.6786 eV/atom
Volume ... 21.52 Å³ per atom
Magnetization ... 0.00 μB/f.u.

Record 6
The following is a PBE calculation of a relaxed structure of Th2SbTe2H2, from the Alexandria database.

a = 4.1143 Å, b = 4.1143 Å, c = 36.6019 Å
α = 90.00°, β = 90.00°, γ = 120.00°
Closest atoms and distances in Å follow each position.
Space group R-3m (No. 166, hexagonal axes)
One atom of each set of equivalent atoms:
Th1 0.0000 0.0000 0.2300 (multiplicity 6)  3 H 2.38
Sb1 0.0000 0.0000 0.5000 (multiplicity 3)  6 H 3.27, 6 Th 3.32
Te1 0.0000 0.0000 0.3807 (multiplicity 6)  3 Th 3.14, 3 H 3.19
H1 0.0000 0.0000 0.1054 (multiplicity 6)  3 Th 2.38

N(E_F) ... 0.703 states/eV/atom
Final energy ... -5.3690 eV/atom
Volume ... 25.55 Å³ per atom
Magnetization ... 0.00 μB/f.u.

Record 7
The following is a PBE calculation of a relaxed structure of Ti7Sb2TeH2, from the Alexandria database.

a = 4.0578 Å, b = 4.0578 Å, c = 22.6292 Å
α = 90.00°, β = 90.00°, γ = 90.00°
Closest atoms and distances in Å follow each position.
Space group I4/mmm (No. 139)
One atom of each set of equivalent atoms:
Ti1 0.0000 0.0000 0.0000 (multiplicity 2)  2 H 2.08
Ti2 0.0000 0.0000 0.1944 (multiplicity 4)  1 H 2.32
Ti3 0.0000 0.5000 0.0929 (multiplicity 8)  2 H 2.03
Sb1 0.0000 0.0000 0.3177 (multiplicity 4)  9 Ti 2.79-2.88
Te1 0.0000 0.0000 0.5000 (multiplicity 2)  12 Ti 2.87-2.92
H1 0.0000 0.0000 0.0918 (multiplicity 4)  5 Ti 2.03-2.08

N(E_F) ... 0.692 states/eV/atom
Final energy ... -6.5841 eV/atom
Volume ... 15.52 Å³ per atom
Magnetization ... 0.00 μB/f.u.

Record 8
The following is a PBE calculation of a relaxed structure of TlSb2TeH, from the Alexandria database.

a = 5.7778 Å, b = 5.7778 Å, c = 5.9357 Å
α = 90.00°, β = 90.00°, γ = 90.00°
Closest atoms and distances in Å follow each position.
Space group P4/mmm (No. 123)
One atom of each set of equivalent atoms:
Tl1 0.0000 0.0000 0.0000 (multiplicity 1)  4 Sb 2.89, 2 Te 2.97
Sb1 0.0000 0.5000 0.0000 (multiplicity 2)  2 Tl 2.89
Te1 0.0000 0.0000 0.5000 (multiplicity 1)  2 Tl 2.97
H1 0.5000 0.5000 0.5000 (multiplicity 1)  4 Te 4.09, 8 Sb 4.14

N(E_F) ... 0.964 states/eV/atom
Final energy ... -2.1948 eV/atom
Volume ... 39.63 Å³ per atom
Magnetization ... 1.38 μB/f.u.